Entry from Alexandria: an optimized crystal structure of Nd4Si2I3 (GGA-PBE).

a b c (Å): 10.3216 10.3216 6.0062
angles (deg): 92.81 92.81 81.71
Closest atoms and distances in Å follow each position.
Positions (direct):
Nd 0.0717 0.6727 0.9947  2 Si 2.85-2.87, 1 I 3.19
Nd 0.2009 0.4016 0.5481  3 Si 2.85-3.07
Nd 0.3273 0.9283 0.5053  2 Si 2.85-2.87, 1 I 3.19
Nd 0.4016 0.2009 0.0481  3 Si 2.85-3.07
Nd 0.5984 0.7991 0.9519  3 Si 2.85-3.07
Nd 0.6727 0.0717 0.4947  2 Si 2.85-2.87, 1 I 3.19
Nd 0.7991 0.5984 0.4519  3 Si 2.85-3.07
Nd 0.9283 0.3273 0.0053  2 Si 2.85-2.87, 1 I 3.19
Si 0.1827 0.4043 0.0563  5 Nd 2.85-3.07
Si 0.4043 0.1827 0.5563  5 Nd 2.85-3.07
Si 0.5957 0.8173 0.4437  5 Nd 2.85-3.07
Si 0.8173 0.5957 0.9437  5 Nd 2.85-3.07
I 0.0244 0.7913 0.4895  3 Nd 3.19-3.32
I 0.2087 0.9756 0.0105  3 Nd 3.19-3.32
I 0.3653 0.6347 0.7500  4 Nd 3.29-3.40
I 0.6347 0.3653 0.2500  4 Nd 3.29-3.40
I 0.7913 0.0244 0.9895  3 Nd 3.19-3.32
I 0.9756 0.2087 0.5105  3 Nd 3.19-3.32

Properties
- formation energy (no corrections) (eV/f.u.) = -6.9
- magnetization (Bohr magnetons per cell) = 0.00
- symmetry = C2/c (15)
- energy above the most stable polymorph in this dataset (meV/atom) = 292